[1]
An optimized crystal structure of Ca2TaCl. Source: the Alexandria database, functional PBE.

Cell lengths 6.775, 6.775, 6.775 Å; angles 142.62, 142.62, 53.90 degrees
Positions (direct):
Ta  0.750  0.250  0.500
Cl  0.500  0.500  0.000
Ca  0.250  0.750  0.500
Ca  0.000  0.000  0.000

Computed properties:
- space group = I-4m2 (119)
- relative energy among the computed polymorphs (meV per atom) = 734
- raw total energy (eV/atom) = -4.02
- energy relative to the elements, uncorrected (meV per atom) = 403.9
- calculated volume (Å³/atom) = 28.5

***

[2]
An optimized crystal structure of Sc4PtRh. Source: the Alexandria database, functional PBE.

Cell lengths 4.379, 6.809, 16.322 Å; angles 90.00, 90.00, 90.00 degrees
Positions (direct):
Sc  0.750  0.949  0.221
Sc  0.250  0.051  0.779
Sc  0.750  0.898  0.644
Sc  0.250  0.102  0.356
Sc  0.250  0.602  0.144
Sc  0.750  0.484  0.573
Sc  0.750  0.848  0.444
Rh  0.750  0.752  0.058
Rh  0.250  0.248  0.942
Sc  0.750  0.348  0.056
Pt  0.250  0.743  0.295
Sc  0.750  0.398  0.856
Sc  0.250  0.152  0.556
Pt  0.750  0.757  0.795
Rh  0.250  0.748  0.558
Rh  0.750  0.252  0.442
Sc  0.250  0.652  0.944
Sc  0.750  0.984  0.927
Pt  0.750  0.257  0.705
Sc  0.250  0.551  0.721
Pt  0.250  0.243  0.205
Sc  0.250  0.516  0.427
Sc  0.750  0.449  0.279
Sc  0.250  0.016  0.073

Computed properties:
- space group = Pnma (62)
- relative energy among the computed polymorphs (meV per atom) = 0
- raw total energy (eV/atom) = -7.25
- calculated volume (Å³/atom) = 20.3

***

[3]
An optimized crystal structure of InP2RhO. Source: the Alexandria database, functional PBE.

Cell lengths 4.907, 4.907, 3.716 Å; angles 90.00, 90.00, 90.00 degrees
Positions (direct):
O  0.000  0.000  0.500
In  0.500  0.500  0.500
P  0.500  0.000  0.000
Rh  0.000  0.000  0.000
P  0.000  0.500  0.000

Computed properties:
- space group = P4/mmm (123)
- relative energy among the computed polymorphs (meV per atom) = 0
- raw total energy (eV/atom) = -5.02
- energy relative to the elements, uncorrected (meV per atom) = 148.8
- calculated volume (Å³/atom) = 17.9

***

[4]
An optimized crystal structure of RbGe3P. Source: the Alexandria database, functional PBE.

Cell lengths 5.101, 5.101, 5.101 Å; angles 90.00, 90.00, 90.00 degrees
Positions (direct):
Ge  0.000  0.500  0.000
Ge  0.500  0.000  0.000
Rb  0.500  0.500  0.500
P  0.000  0.000  0.000
Ge  0.000  0.000  0.500

Computed properties:
- space group = Pm-3m (221)
- relative energy among the computed polymorphs (meV per atom) = 420
- raw total energy (eV/atom) = -3.59
- calculated volume (Å³/atom) = 26.5

***

[5]
An optimized crystal structure of CaAs2Br. Source: the Alexandria database, functional PBE.

Cell lengths 5.443, 5.443, 5.155 Å; angles 90.00, 90.00, 123.50 degrees
Positions (direct):
As  0.000  0.000  0.000
As  0.500  0.500  0.000
Ca  0.000  0.500  0.500
Br  0.500  0.000  0.500

Computed properties:
- space group = Cmmm (65)
- relative energy among the computed polymorphs (meV per atom) = 576
- raw total energy (eV/atom) = -3.54
- energy relative to the elements, uncorrected (meV per atom) = -301.2
- calculated volume (Å³/atom) = 31.8

***

[6]
An optimized crystal structure of Cs3Sb2Pd. Source: the Alexandria database, functional PBE.

Cell lengths 9.759, 7.854, 9.868 Å; angles 113.45, 119.64, 90.00 degrees
Positions (direct):
Sb  0.223  0.052  0.104
Sb  0.777  0.948  0.896
Sb  0.119  0.448  0.896
Sb  0.881  0.552  0.104
Cs  0.651  0.308  0.615
Cs  0.035  0.192  0.385
Cs  0.349  0.692  0.385
Cs  0.500  0.750  0.000
Cs  0.965  0.808  0.615
Pd  0.000  0.250  0.000
Pd  0.000  0.750  0.000
Cs  0.500  0.250  0.000

Computed properties:
- space group = Ibam (72)
- raw total energy (eV/atom) = -3.00
- energy relative to the elements, uncorrected (meV per atom) = -336.6
- calculated volume (Å³/atom) = 48.7